GGA+U In2MoPbF8, optimized geometry; total DFT energy (no corrections) = -4.809 eV/atom; total moment = 0.238 μB/atom; symmetry = P-1 (2)
1.0
5.133 0.000 0.000
0.013 5.938 0.000
0.001 0.007 7.315
In Mo Pb F
2 1 1 8
Direct
0.000 0.000 0.233
0.000 0.000 0.767
0.500 0.500 0.000
0.500 0.500 0.500
0.158 0.804 0.501
0.192 0.728 0.998
0.338 0.309 0.218
0.339 0.308 0.782
0.661 0.692 0.218
0.662 0.691 0.782
0.808 0.272 0.002
0.842 0.196 0.499